Run a
First-principles (GGA+U) data for a geometry-optimized LiCoCuF6 structure, as listed in Alexandria via LeMat-Bulk.

Unit cell a=4.9427 b=4.9427 c=8.8608 alpha=90.00 beta=90.00 gamma=120.00
Fractional positions:
Li: 0.3333 0.6667 0.2500
Li: 0.6667 0.3333 0.7500
Co: 0.3333 0.6667 0.7500
Co: 0.6667 0.3333 0.2500
Cu: 0.0000 0.0000 0.0000
Cu: 0.0000 0.0000 0.5000
F: 0.0206 0.3534 0.6310
F: 0.0206 0.6672 0.8690
F: 0.3328 0.3534 0.8690
F: 0.3328 0.9794 0.6310
F: 0.3534 0.0206 0.1310
F: 0.3534 0.3328 0.3690
F: 0.6466 0.6672 0.6310
F: 0.6466 0.9794 0.8690
F: 0.6672 0.0206 0.3690
F: 0.6672 0.6466 0.1310
F: 0.9794 0.3328 0.1310
F: 0.9794 0.6466 0.3690

Size of the total moment in μB/f.u.: 1.00
Calculated density in kg/m³: 4312


Run b
First-principles (GGA+U) data for a geometry-optimized LiCoCuF6 structure, as listed in Alexandria via LeMat-Bulk.

Unit cell a=4.6131 b=4.6131 c=9.3800 alpha=90.00 beta=90.00 gamma=90.00
Fractional positions:
Li: 0.0000 0.0000 0.0000
Li: 0.5000 0.5000 0.5000
Co: 0.0000 0.0000 0.6665
Co: 0.5000 0.5000 0.1665
Cu: 0.0000 0.0000 0.3336
Cu: 0.5000 0.5000 0.8336
F: 0.1956 0.1956 0.5089
F: 0.2003 0.2003 0.8293
F: 0.2106 0.2106 0.1692
F: 0.2894 0.7106 0.6692
F: 0.2997 0.7003 0.3293
F: 0.3044 0.6956 0.0089
F: 0.6956 0.3044 0.0089
F: 0.7003 0.2997 0.3293
F: 0.7106 0.2894 0.6692
F: 0.7894 0.7894 0.1692
F: 0.7997 0.7997 0.8293
F: 0.8044 0.8044 0.5089

Size of the total moment in μB/f.u.: 5.00
Calculated density in kg/m³: 4050


We find run b to be the most stable, with the next structure 79 meV per atom higher.